1.
Below is a relaxed structure of Cd3Ag2Au2, with properties calculated at the PBE level.

Output
formation enthalpy at 0 K: -0.6 eV per formula unit
crystal system: monoclinic
polymorph energy (0 for the lowest one): 0 meV/atom
space-group type: C2/m, No. 12

a b c (Å): 4.206 5.261 6.681
angles (deg): 96.58 90.00 113.56
Positions (direct):
Cd: 0.000 0.000 0.000
Cd: 0.714 0.428 0.159
Cd: 0.286 0.572 0.841
Ag: 0.861 0.722 0.568
Ag: 0.139 0.278 0.432
Au: 0.574 0.149 0.717
Au: 0.426 0.851 0.283

2.
Below is a relaxed structure of La2Sm4Sc, with properties calculated at the PBE level.

Output
formation enthalpy at 0 K: 0.9 eV per formula unit
crystal system: monoclinic
polymorph energy (0 for the lowest one): 0 meV/atom
space-group type: Cc, No. 9

a b c (Å): 9.049 6.803 9.049
angles (deg): 96.98 119.87 96.98
Positions (direct):
La: 0.249 0.810 0.731
La: 0.481 0.310 0.499
La: 0.905 0.088 0.532
La: 0.282 0.588 0.155
Sm: 0.760 0.195 0.960
Sm: 0.918 0.555 0.784
Sm: 0.577 0.829 0.591
Sm: 0.062 0.455 0.366
Sm: 0.534 0.055 0.168
Sm: 0.710 0.695 0.010
Sm: 0.341 0.329 0.827
Sm: 0.116 0.955 0.312
Sc: 0.713 0.569 0.352
Sc: 0.102 0.069 0.963

3.
Below is a relaxed structure of Ti2CuRe, with properties calculated at the PBE level.

Output
formation enthalpy at 0 K: -1.2 eV per formula unit
crystal system: tetragonal
space-group type: P4/mmm, No. 123

a b c (Å): 3.162 3.162 5.991
angles (deg): 90.00 90.00 90.00
Positions (direct):
Re: 0.500 0.500 0.500
Cu: 0.500 0.500 0.000
Ti: 0.000 0.000 0.745
Ti: 0.000 0.000 0.255

4.
Below is a relaxed structure of Li2Ga2Au, with properties calculated at the PBE level.

Output
formation enthalpy at 0 K: -1.7 eV per formula unit
crystal system: tetragonal
polymorph energy (0 for the lowest one): 84 meV/atom
space-group type: P4/mbm, No. 127

a b c (Å): 6.804 6.804 3.539
angles (deg): 90.00 90.00 90.00
Positions (direct):
Au: 0.000 0.000 0.000
Au: 0.500 0.500 0.000
Ga: 0.366 0.866 0.000
Ga: 0.866 0.634 0.000
Ga: 0.634 0.134 0.000
Ga: 0.134 0.366 0.000
Li: 0.167 0.667 0.500
Li: 0.667 0.833 0.500
Li: 0.833 0.333 0.500
Li: 0.333 0.167 0.500

5.
Below is a relaxed structure of KRb2ReF6, with properties calculated at the PBE level.

Output
crystal system: tetragonal
raw formation energy: -2.316 eV per atom
space-group type: I4/mmm, No. 139

a b c (Å): 6.526 6.526 6.473
angles (deg): 59.73 59.73 90.00
Each line ends with the local moment (μB).
Positions (direct):
Re: 0.000 0.000 0.000  1.64
K: 0.500 0.500 0.000  0.00
Rb: 0.750 0.250 0.500  0.00
Rb: 0.250 0.750 0.500  0.00
F: 0.223 0.223 0.555  0.05
F: 0.777 0.777 0.445  0.05
F: 0.226 0.226 0.000  0.02
F: 0.774 0.774 0.000  0.02
F: 0.774 0.226 0.000  0.02
F: 0.226 0.774 0.000  0.02

6.
Below is a relaxed structure of Dy2TcO, with properties calculated at the PBE level.

Output
crystal system: trigonal
raw formation energy: -0.751 eV per atom
space-group type: R-3m, No. 166

a b c (Å): 3.254 3.254 8.447
angles (deg): 78.89 78.89 60.00
Each line ends with the local moment (μB).
Positions (direct):
Tc: 0.000 0.000 0.000  1.00
O: 0.500 0.500 0.500  -0.01
Dy: 0.107 0.107 0.679  -0.07
Dy: 0.893 0.893 0.321  -0.07

7.
Below is a relaxed structure of Zr7TlN2, with properties calculated at the PBE level.

Output
crystal system: orthorhombic
raw formation energy: -0.356 eV per atom
space-group type: Cmmm, No. 65

a b c (Å): 4.373 7.136 7.136
angles (deg): 116.12 90.00 90.00
Positions (direct):
Zr: 0.000 0.720 0.280
Zr: 0.000 0.280 0.720
Zr: 0.500 0.069 0.339
Zr: 0.500 0.931 0.661
Zr: 0.500 0.339 0.069
Zr: 0.500 0.661 0.931
Zr: 0.500 0.500 0.500
Tl: 0.000 0.000 0.000
N: 0.500 0.703 0.297
N: 0.500 0.297 0.703

8.
Below is a relaxed structure of LiTi3Pd12, with properties calculated at the PBE level.

Output
formation enthalpy at 0 K: -8.9 eV per formula unit
crystal system: tetragonal
space-group type: P4/mmm, No. 123

a b c (Å): 3.928 3.928 15.628
angles (deg): 90.00 90.00 90.00
Positions (direct):
Li: 0.000 0.000 0.000
Ti: 0.000 0.000 0.244
Ti: 0.000 0.000 0.500
Ti: 0.000 0.000 0.756
Pd: 0.500 0.500 0.000
Pd: 0.500 0.500 0.251
Pd: 0.500 0.500 0.500
Pd: 0.500 0.500 0.749
Pd: 0.500 0.000 0.127
Pd: 0.500 0.000 0.376
Pd: 0.500 0.000 0.624
Pd: 0.500 0.000 0.873
Pd: 0.000 0.500 0.127
Pd: 0.000 0.500 0.376
Pd: 0.000 0.500 0.624
Pd: 0.000 0.500 0.873

9.
Below is a relaxed structure of TlNF2, with properties calculated at the PBE level.

Output
crystal system: monoclinic
raw formation energy: -0.049 eV per atom
polymorph energy (0 for the lowest one): 0 meV/atom
space-group type: Pm, No. 6

a b c (Å): 3.694 7.218 8.698
angles (deg): 124.95 90.00 90.00
Each line ends with the local moment (μB).
Positions (direct):
Tl: 0.278 0.841 0.551  0.01
Tl: 0.778 0.342 0.552  0.00
N: 0.778 0.847 0.050  1.94
N: 0.278 0.349 0.053  1.94
F: 0.778 0.502 0.410  0.01
F: 0.278 0.117 0.401  0.01
F: 0.278 0.565 0.702  0.01
F: 0.778 0.181 0.693  0.01

10.
Below is a relaxed structure of PrSm3As3, with properties calculated at the PBE level.

Output
formation enthalpy at 0 K: -8.9 eV per formula unit
crystal system: cubic
space-group type: P2_13, No. 198

a b c (Å): 8.972 8.972 8.972
angles (deg): 90.00 90.00 90.00
Positions (direct):
Pr: 0.066 0.566 0.934
Pr: 0.934 0.066 0.566
Pr: 0.434 0.434 0.434
Pr: 0.566 0.934 0.066
Sm: 0.815 0.315 0.185
Sm: 0.933 0.933 0.933
Sm: 0.816 0.684 0.316
Sm: 0.185 0.815 0.315
Sm: 0.184 0.184 0.184
Sm: 0.316 0.816 0.684
Sm: 0.067 0.433 0.567
Sm: 0.315 0.185 0.815
Sm: 0.684 0.316 0.816
Sm: 0.685 0.685 0.685
Sm: 0.567 0.067 0.433
Sm: 0.433 0.567 0.067
As: 0.747 0.623 0.001
As: 0.877 0.999 0.247
As: 0.001 0.747 0.623
As: 0.123 0.499 0.253
As: 0.253 0.123 0.499
As: 0.247 0.877 0.999
As: 0.999 0.247 0.877
As: 0.377 0.501 0.753
As: 0.499 0.253 0.123
As: 0.623 0.001 0.747
As: 0.753 0.377 0.501
As: 0.501 0.753 0.377

11.
Below is a relaxed structure of CsTe2SeS2, with properties calculated at the PBE level.

Output
crystal system: monoclinic
raw formation energy: -0.229 eV per atom
space-group type: P2_1/m, No. 11

a b c (Å): 8.336 8.337 7.505
angles (deg): 93.09 90.00 90.00
Positions (direct):
Cs: 0.750 0.450 0.766
Cs: 0.250 0.550 0.234
Te: 0.493 0.112 0.167
Te: 0.007 0.112 0.167
Te: 0.993 0.888 0.833
Te: 0.507 0.888 0.833
Se: 0.250 0.465 0.732
Se: 0.750 0.535 0.268
S: 0.250 0.010 0.310
S: 0.250 0.721 0.683
S: 0.750 0.990 0.690
S: 0.750 0.279 0.317

12.
Below is a relaxed structure of K2CeBiS4, with properties calculated at the PBE level.

Output
crystal system: monoclinic
raw formation energy: -1.299 eV per atom
space-group type: P2/m, No. 10

a b c (Å): 4.218 7.248 7.762
angles (deg): 108.24 90.00 90.00
Each line ends with the local moment (μB).
Positions (direct):
K: 0.500 0.000 0.500  0.00
K: 0.000 0.500 0.500  0.00
Ce: 0.500 0.500 0.000  0.90
Bi: 0.000 0.000 0.000  0.01
S: 0.500 0.237 0.209  -0.01
S: 0.500 0.763 0.791  -0.01
S: 0.000 0.266 0.793  -0.01
S: 0.000 0.734 0.207  -0.01

13.
Below is a relaxed structure of BaCd, with properties calculated at the PBE level.

Output
formation enthalpy at 0 K: -0.3 eV per formula unit
crystal system: cubic
space-group type: Fm-3m, No. 225

a b c (Å): 5.100 5.100 5.100
angles (deg): 60.00 60.00 60.00
Positions (direct):
Ba: 0.500 0.500 0.500
Cd: 0.000 0.000 0.000

14.
Below is a relaxed structure of YMgGaAu, with properties calculated at the PBE level.

Output
formation enthalpy at 0 K: -2.5 eV per formula unit
crystal system: cubic
space-group type: F-43m, No. 216

a b c (Å): 4.895 4.895 4.895
angles (deg): 60.00 60.00 60.00
Positions (direct):
Y: 0.750 0.750 0.750
Mg: 0.250 0.250 0.250
Au: 0.500 0.500 0.500
Ga: 0.000 0.000 0.000

15.
Below is a relaxed structure of Ac3PaMn2N6, with properties calculated at the PBE level.

Output
crystal system: trigonal
raw formation energy: -0.957 eV per atom
space-group type: P-3m1, No. 164

a b c (Å): 5.965 5.965 6.963
angles (deg): 90.00 90.00 120.00
Each line ends with the local moment (μB).
Positions (direct):
Ac: 0.333 0.667 0.676  0.02
Ac: 0.667 0.333 0.324  0.02
Ac: 0.000 0.000 0.000  0.00
Pa: 0.000 0.000 0.500  0.35
Mn: 0.667 0.333 0.795  2.10
Mn: 0.333 0.667 0.205  2.10
N: 0.656 0.828 0.300  -0.03
N: 0.172 0.344 0.300  -0.03
N: 0.172 0.828 0.300  -0.03
N: 0.828 0.656 0.700  -0.03
N: 0.344 0.172 0.700  -0.03
N: 0.828 0.172 0.700  -0.03

16.
Below is a relaxed structure of TbY4Rh2, with properties calculated at the PBE level.

Output
formation enthalpy at 0 K: -3.2 eV per formula unit
crystal system: monoclinic
space-group type: P2_1/m, No. 11

a b c (Å): 6.402 7.913 7.875
angles (deg): 112.86 90.00 90.00
Positions (direct):
Tb: 0.250 0.841 0.972
Tb: 0.750 0.159 0.028
Y: 0.502 0.412 0.763
Y: 0.250 0.248 0.335
Y: 0.750 0.752 0.665
Y: 0.998 0.412 0.763
Y: 0.750 0.017 0.383
Y: 0.002 0.588 0.237
Y: 0.498 0.588 0.237
Y: 0.250 0.983 0.617
Rh: 0.250 0.253 0.989
Rh: 0.750 0.747 0.011
Rh: 0.750 0.373 0.409
Rh: 0.250 0.627 0.591

17.
Below is a relaxed structure of Mg5Au3, with properties calculated at the PBE level.

Output
formation enthalpy at 0 K: -4.0 eV per formula unit
crystal system: orthorhombic
polymorph energy (0 for the lowest one): 32 meV/atom
space-group type: Cmmm, No. 65

a b c (Å): 5.871 5.871 4.549
angles (deg): 90.00 90.00 106.17
Positions (direct):
Au: 0.500 0.500 0.000
Au: 0.789 0.211 0.500
Au: 0.211 0.789 0.500
Mg: 0.000 0.000 0.000
Mg: 0.000 0.500 0.000
Mg: 0.500 0.000 0.000
Mg: 0.283 0.283 0.500
Mg: 0.717 0.717 0.500

18.
Below is a relaxed structure of Re2NiAs, with properties calculated at the PBE level.

Output
formation enthalpy at 0 K: 1.0 eV per formula unit
crystal system: monoclinic
space-group type: Cm, No. 8

a b c (Å): 4.617 4.617 4.555
angles (deg): 84.75 84.75 36.19
Positions (direct):
As: 0.498 0.498 0.477
Ni: 0.262 0.262 0.254
Re: 0.000 0.000 0.002
Re: 0.740 0.740 0.767

19.
Below is a relaxed structure of KNa10Cd2, with properties calculated at the PBE level.

Output
formation enthalpy at 0 K: -0.2 eV per formula unit
crystal system: orthorhombic
space-group type: Fmmm, No. 69

a b c (Å): 6.561 9.014 8.997
angles (deg): 82.37 68.62 68.66
Positions (direct):
K: 0.000 0.000 0.000
Na: 0.350 0.633 0.666
Na: 0.650 0.367 0.334
Na: 0.983 0.367 0.666
Na: 0.017 0.633 0.334
Na: 0.000 0.000 0.500
Na: 0.500 0.000 0.500
Na: 0.283 0.227 0.207
Na: 0.717 0.773 0.793
Na: 0.510 0.773 0.207
Na: 0.490 0.227 0.793
Cd: 0.000 0.500 0.000
Cd: 0.500 0.500 0.000

20.
Below is a relaxed structure of TbPmBeIr, with properties calculated at the PBE level.

Output
formation enthalpy at 0 K: -1.2 eV per formula unit
crystal system: cubic
space-group type: F-43m, No. 216

a b c (Å): 4.931 4.931 4.931
angles (deg): 60.00 60.00 60.00
Positions (direct):
Be: 0.500 0.500 0.500
Ir: 0.000 0.000 0.000
Tb: 0.750 0.750 0.750
Pm: 0.250 0.250 0.250

Listing D(E_F) for the structures above in their given order: 0.347 1.676 0.832 0.221 0.459 0.593 0.703 0.753 0.000 0.967 0.400 0.626 1.046 0.686 0.429 1.199 0.403 0.804 0.402 0.644 states/eV/atom.